# 1
The following is a DFT calculation (GGA-PBE) of a relaxed structure of PmPr6Dy2Y3.

The space group is C2/m (No. 12) and the conventional cell measures 6.335, 10.972 and 11.962 Å, with angles of 90.00, 100.13 and 90.00 degrees. Symmetry generates all atoms from Pm at (0.000, 0.000, 0.000), Pr at (0.249, 0.333, 0.750), Pr at (0.250, 0.000, 0.750), Dy at (0.000, 0.333, 0.000), Y at (0.000, 0.167, 0.500) and Y at (0.000, 0.500, 0.500).

As for the energy of formation: 0.2 kcal/mol of atoms. The total DFT energy (no corrections) comes out at -5.160 eV/atom. The calculation puts the size of the total moment at 0.000 μB per formula unit.

***

# 2
The following is a DFT calculation (GGA-PBE) of a relaxed structure of In2As2Au.

The space group is P4/mbm (No. 127) and the conventional cell measures 7.355, 7.355 and 4.674 Å, with angles of 90.00, 90.00 and 90.00 degrees. Symmetry generates all atoms from In at (0.172, 0.328, 0.000), As at (0.115, 0.615, 0.500) and Au at (0.000, 0.000, 0.000).

As for the energy of formation: 3.9 kcal/mol of atoms. The total DFT energy (no corrections) comes out at -3.442 eV/atom. The calculation puts the size of the total moment at 0.000 μB per formula unit.

***

# 3
The following is a DFT calculation (GGA-PBE) of a relaxed structure of LaCuIr2.

The space group is I-42d (No. 122) and the conventional cell measures 4.595, 4.595 and 17.254 Å, with angles of 90.00, 90.00 and 90.00 degrees. Symmetry generates all atoms from La at (0.000, 0.000, 0.000), Cu at (0.000, 0.000, 0.500) and Ir at (0.085, 0.250, 0.625).

As for the energy of formation: -1.9 kcal/mol of atoms. The total DFT energy (no corrections) comes out at -6.770 eV/atom. The calculation puts the size of the total moment at 0.000 μB per formula unit.

***

# 4
The following is a DFT calculation (GGA-PBE) of a relaxed structure of Ca2Cu2SnPd5.

The space group is P4/mbm (No. 127) and the conventional cell measures 9.603, 9.603 and 3.861 Å, with angles of 90.00, 90.00 and 90.00 degrees. Symmetry generates all atoms from Ca at (0.173, 0.327, 0.000), Cu at (0.125, 0.625, 0.000), Sn at (0.000, 0.000, 0.000), Pd at (0.000, 0.500, 0.500) and Pd at (0.067, 0.793, 0.500).

As for the energy of formation: -13.0 kcal/mol of atoms. The total DFT energy (no corrections) comes out at -4.781 eV/atom. The calculation puts the size of the total moment at 0.000 μB per formula unit.